PBE Mg2PtW, relaxed; raw total energy = -5.6894 eV/atom; formation enthalpy at 0 K = -0.574 eV/f.u.; energy above the lowest structure with this stoichiometry = 0 meV/atom
1.0
1.994 -1.999 0.000
1.994 1.999 0.000
0.000 0.000 8.299
Mg Pt W
2 1 1
direct
0.000 0.000 0.232
0.000 0.000 0.768
0.500 0.500 0.000
0.500 0.500 0.500